No. 1
Material: MgP2Pb
Method: DFT, PBE
State: optimized geometry

Unit cell a=5.9906 b=4.8504 c=3.9218 alpha=79.14 beta=69.54 gamma=118.44
Last column: nearest neighbours and their distance in Å.
Positions (direct):
P  0.5000  0.0000  0.5000  2 Pb 2.82, 2 Mg 2.82, 2 P 2.95
Mg  0.5000  0.5000  0.0000  4 P 2.82, 2 Pb 2.95
P  0.0000  0.0000  0.0000  2 Mg 2.82, 2 Pb 2.82, 2 P 2.95
Pb  0.0000  0.5000  0.5000  4 P 2.82, 2 Mg 2.95

Output
- total magnetization (μB per formula unit) = 0.00
- final energy (eV/cell) = -15.381

=====

No. 2
Material: LiMoCl
Method: DFT, PBE
State: optimized geometry

Unit cell a=4.3045 b=4.3045 c=2.8407 alpha=90.00 beta=90.00 gamma=120.00
Last column: nearest neighbours and their distance in Å.
Positions (direct):
Li  0.3333  0.6667  0.3334  2 Li 2.84, 6 Mo 2.86, 6 Cl 2.86
Mo  0.6667  0.3333  0.8331  3 Cl 2.49
Cl  0.0000  0.0000  0.8335  3 Mo 2.49

Output
- total magnetization (μB per formula unit) = 0.00
- final energy (eV/cell) = -13.355

=====

No. 3
Material: ZrTe2Pt
Method: DFT, PBE
State: optimized geometry

Unit cell a=4.1162 b=3.6585 c=7.6426 alpha=76.61 beta=90.00 gamma=90.00
Last column: nearest neighbours and their distance in Å.
Positions (direct):
Te  0.0000  0.9179  0.9058  2 Pt 2.65, 1 Zr 2.93
Pt  0.5000  0.8973  0.6900  3 Te 2.65-2.66, 2 Zr 2.84
Te  0.5000  0.1991  0.3380  1 Pt 2.66
Zr  0.0000  0.4858  0.5662  4 Pt 2.84-2.97, 3 Te 2.93-3.04

Output
- total magnetization (μB per formula unit) = 0.00
- final energy (eV/cell) = -23.502

=====

No. 4
Material: Sm6YMg
Method: DFT, PBE
State: optimized geometry

Unit cell a=5.0638 b=6.1773 c=9.4624 alpha=77.69 beta=74.48 gamma=65.80
Last column: nearest neighbours and their distance in Å.
Positions (direct):
Sm  0.5028  0.2444  0.7499  8 Sm 3.55-3.62, 2 Mg 3.57, 2 Y 3.59
Sm  0.2497  0.8713  0.6293  1 Mg 3.54, 8 Sm 3.55-3.64, 3 Y 3.57-3.60
Sm  0.4972  0.7556  0.2501  8 Sm 3.55-3.62, 2 Mg 3.57, 2 Y 3.59
Sm  0.7503  0.1287  0.3707  1 Mg 3.54, 8 Sm 3.55-3.64, 3 Y 3.57-3.60
Sm  0.2448  0.3883  0.1222  3 Mg 3.50-3.61, 8 Sm 3.51-3.62, 1 Y 3.57
Y  0.0000  0.5000  0.5000  12 Sm 3.57-3.60
Sm  0.7552  0.6117  0.8778  3 Mg 3.50-3.61, 8 Sm 3.51-3.62, 1 Y 3.57
Mg  0.0000  0.0000  0.0000  12 Sm 3.50-3.61

Output
- total magnetization (μB per formula unit) = 0.00
- final energy (eV/cell) = -36.251

=====

No. 5
Material: Li2Np2TaS6
Method: DFT, PBE
State: optimized geometry

Unit cell a=6.5413 b=6.5413 c=6.5372 alpha=98.98 beta=98.98 gamma=119.39
Last column: nearest neighbours and their distance in Å.
Positions (direct):
S  0.9282  0.6140  0.2594  1 Ta 2.54, 1 Li 2.60, 2 Np 2.71-2.72
S  0.2279  0.2279  0.2547  1 Ta 2.52, 2 Li 2.58, 2 Np 2.73
Li  0.8419  0.1581  0.0000  4 S 2.58-2.60
S  0.3860  0.0718  0.7406  1 Ta 2.54, 1 Li 2.60, 2 Np 2.71-2.72
S  0.7721  0.7721  0.7453  1 Ta 2.52, 2 Li 2.58, 2 Np 2.73
Np  0.6642  0.3358  0.5000  6 S 2.71-2.73
Ta  0.0000  0.0000  0.5000  6 S 2.52-2.54
Li  0.1581  0.8419  0.0000  4 S 2.58-2.60
Np  0.3358  0.6642  0.5000  6 S 2.71-2.73
S  0.6140  0.9282  0.2594  1 Ta 2.54, 1 Li 2.60, 2 Np 2.71-2.72
S  0.0718  0.3860  0.7406  1 Ta 2.54, 1 Li 2.60, 2 Np 2.71-2.72

Output
- total magnetization (μB per formula unit) = 8.98
- final energy (eV/cell) = -79.877

=====

No. 6
Material: ScIr2Ru
Method: DFT, PBE
State: optimized geometry

Unit cell a=4.8478 b=4.8478 c=4.8478 alpha=132.13 beta=132.16 gamma=70.00
Last column: nearest neighbours and their distance in Å.
Positions (direct):
Ru  0.5000  0.5000  0.0000  8 Ir 2.78-2.80, 4 Sc 2.79
Sc  0.2499  0.7499  0.5000  8 Ir 2.78-2.79, 4 Ru 2.79
Ir  0.7501  0.2501  0.5000  4 Sc 2.78, 4 Ru 2.79-2.80, 4 Ir 2.79
Ir  0.0000  0.0000  0.0000  4 Ru 2.78, 4 Sc 2.79, 4 Ir 2.79

Output
- total magnetization (μB per formula unit) = 0.00
- final energy (eV/cell) = -34.858

=====

No. 7
Material: LiPuMnIn
Method: DFT, PBE
State: optimized geometry

Unit cell a=4.7937 b=4.7937 c=4.7937 alpha=60.00 beta=60.00 gamma=60.00
Last column: nearest neighbours and their distance in Å.
Positions (direct):
In  0.7500  0.7500  0.7500  4 Mn 2.94, 4 Li 2.94
Mn  0.5000  0.5000  0.5000  4 In 2.94, 4 Pu 2.94
Pu  0.2500  0.2500  0.2500  4 Mn 2.94, 4 Li 2.94
Li  0.0000  0.0000  0.0000  4 Pu 2.94, 4 In 2.94

Output
- total magnetization (μB per formula unit) = 1.61
- final energy (eV/cell) = -28.001

=====

No. 8
Material: YAs2RhSe
Method: DFT, PBE
State: optimized geometry

Unit cell a=4.7045 b=4.7045 c=5.2298 alpha=90.00 beta=90.00 gamma=90.00
Last column: nearest neighbours and their distance in Å.
Positions (direct):
Se  0.0000  0.0000  0.5000  2 Rh 2.61
As  0.5000  0.0000  0.0000  2 Rh 2.35
Y  0.5000  0.5000  0.5000  4 Se 3.33, 8 As 3.52
Rh  0.0000  0.0000  0.0000  4 As 2.35, 2 Se 2.61
As  0.0000  0.5000  0.0000  2 Rh 2.35

Output
- total magnetization (μB per formula unit) = 0.00
- final energy (eV/cell) = -27.894

=====

No. 9
Material: AlAsRh3
Method: DFT, PBE
State: optimized geometry

Unit cell a=4.4660 b=4.4660 c=4.4660 alpha=90.00 beta=90.00 gamma=90.00
Last column: nearest neighbours and their distance in Å.
Positions (direct):
Rh  0.5000  0.0000  0.0000  2 Al 2.23
As  0.5000  0.5000  0.5000  12 Rh 3.16
Rh  0.0000  0.0000  0.5000  2 Al 2.23
Rh  0.0000  0.5000  0.0000  2 Al 2.23
Al  0.0000  0.0000  0.0000  6 Rh 2.23

Output
- total magnetization (μB per formula unit) = 0.74
- final energy (eV/cell) = -27.561

=====

No. 10
Material: SiGePS2
Method: DFT, PBE
State: optimized geometry

Unit cell a=4.5431 b=4.5431 c=4.5323 alpha=90.00 beta=90.00 gamma=90.00
Last column: nearest neighbours and their distance in Å.
Positions (direct):
Si  0.0000  0.0000  0.0000  2 P 2.27, 4 S 2.27
P  0.0000  0.0000  0.5000  2 Si 2.27
Ge  0.5000  0.5000  0.5000  8 S 3.21, 4 P 3.21
S  0.5000  0.0000  0.0000  2 Si 2.27
S  0.0000  0.5000  0.0000  2 Si 2.27

Output
- total magnetization (μB per formula unit) = 0.00
- final energy (eV/cell) = -21.677

=====

No. 11
Material: Zr3GaF
Method: DFT, PBE
State: optimized geometry

Unit cell a=4.5086 b=4.5086 c=4.5086 alpha=90.00 beta=90.00 gamma=90.00
Last column: nearest neighbours and their distance in Å.
Positions (direct):
Zr  0.5000  0.0000  0.0000  2 F 2.25
F  0.0000  0.0000  0.0000  6 Zr 2.25
Zr  0.0000  0.0000  0.5000  2 F 2.25
Ga  0.5000  0.5000  0.5000  12 Zr 3.19
Zr  0.0000  0.5000  0.0000  2 F 2.25

Output
- total magnetization (μB per formula unit) = 0.00
- final energy (eV/cell) = -33.847

=====

No. 12
Material: OsPbSN2
Method: DFT, PBE
State: optimized geometry

Unit cell a=4.1290 b=4.1290 c=5.5772 alpha=90.00 beta=90.00 gamma=90.00
Last column: nearest neighbours and their distance in Å.
Positions (direct):
N  0.5000  0.0000  0.0000  2 Pb 2.06
Os  0.5000  0.5000  0.5000  4 S 2.92
S  0.0000  0.0000  0.5000  2 Pb 2.79, 4 Os 2.92
Pb  0.0000  0.0000  0.0000  4 N 2.06
N  0.0000  0.5000  0.0000  2 Pb 2.06

Output
- total magnetization (μB per formula unit) = 5.48
- final energy (eV/cell) = -22.764